1.
Here is an optimized crystal structure of Rb3HgPd from Alexandria. Energies are from PBE.

a = 6.516 Å, b = 6.516 Å, c = 6.516 Å
α = 90.00°, β = 90.00°, γ = 90.00°
Fractional coordinates of all 5 atoms:
Rb 0.000 0.000 0.500
Rb 0.000 0.500 0.000
Rb 0.500 0.000 0.000
Hg 0.500 0.500 0.500
Pd 0.000 0.000 0.000

Output
- Formation energy from the elements: 58 meV/atom
- Distance to the lowest polymorph of the same formula: 154.8 meV/atom
- Total moment: 0.000 μB/atom
- Symmetry: Pm-3m, No. 221



2.
Here is an optimized crystal structure of Ca3SiBr2 from Alexandria. Energies are from PBE.

a = 12.025 Å, b = 12.025 Å, c = 12.025 Å
α = 19.86°, β = 19.86°, γ = 19.86°
Fractional coordinates of all 6 atoms:
Ca 0.000 0.000 0.000
Ca 0.121 0.121 0.121
Ca 0.573 0.573 0.573
Si 0.287 0.287 0.287
Br 0.731 0.731 0.731
Br 0.844 0.844 0.844

Output
- Distance to the lowest polymorph of the same formula: 188.0 meV/atom
- E_form (uncorrected): -1.03 eV per atom
- Total moment: 0.141 μB/atom
- Symmetry: R3m, No. 160



3.
Here is an optimized crystal structure of VTc2HIr from Alexandria. Energies are from PBE.

a = 3.881 Å, b = 3.881 Å, c = 3.912 Å
α = 90.00°, β = 90.00°, γ = 90.00°
Fractional coordinates of all 5 atoms:
V 0.000 0.000 0.000
Tc 0.000 0.500 0.500
Tc 0.500 0.000 0.500
H 0.000 0.000 0.500
Ir 0.500 0.500 0.000

Output
- Distance to the lowest polymorph of the same formula: 0.0 meV/atom
- Total moment: 0.000 μB/atom
- Symmetry: P4/mmm, No. 123



4.
Here is an optimized crystal structure of NdHo3Ag from Alexandria. Energies are from PBE.

a = 7.106 Å, b = 7.106 Å, c = 7.740 Å
α = 114.90°, β = 114.90°, γ = 71.79°
Fractional coordinates of all 10 atoms:
Nd 0.084 0.084 0.268
Nd 0.916 0.916 0.732
Ho 0.031 0.618 0.304
Ho 0.382 0.969 0.696
Ho 0.443 0.443 0.688
Ho 0.557 0.557 0.312
Ho 0.618 0.031 0.304
Ho 0.969 0.382 0.696
Ag 0.250 0.250 0.057
Ag 0.750 0.750 0.943

Output
- Formation energy from the elements: 55 meV/atom
- Total moment: 0.000 μB/atom
- Symmetry: C2/m, No. 12



5.
Here is an optimized crystal structure of CeAl2Ir from Alexandria. Energies are from PBE.

a = 5.814 Å, b = 5.814 Å, c = 5.814 Å
α = 42.71°, β = 42.71°, γ = 42.71°
Fractional coordinates of all 4 atoms:
Ce 0.000 0.000 0.000
Al 0.208 0.208 0.208
Al 0.792 0.792 0.792
Ir 0.500 0.500 0.500

Output
- Formation energy from the elements: -650 meV/atom
- Total moment: 0.219 μB/atom
- Symmetry: R-3m, No. 166



6.
Here is an optimized crystal structure of Ba2Sb3Au from Alexandria. Energies are from PBE.

a = 9.799 Å, b = 9.599 Å, c = 7.135 Å
α = 69.92°, β = 66.94°, γ = 43.15°
Fractional coordinates of all 12 atoms:
Ba 0.240 0.760 0.760
Ba 0.250 0.250 0.250
Ba 0.750 0.750 0.750
Ba 0.760 0.240 0.240
Sb 0.163 0.163 0.837
Sb 0.189 0.634 0.366
Sb 0.366 0.811 0.189
Sb 0.634 0.189 0.811
Sb 0.811 0.366 0.634
Sb 0.837 0.837 0.163
Au 0.327 0.327 0.673
Au 0.673 0.673 0.327

Output
- E_form (uncorrected): -0.76 eV per atom
- Total moment: 0.000 μB/atom
- Symmetry: Fmmm, No. 69



7.
Here is an optimized crystal structure of TiRePS2 from Alexandria. Energies are from PBE.

a = 4.542 Å, b = 4.542 Å, c = 4.973 Å
α = 90.00°, β = 90.00°, γ = 90.00°
Fractional coordinates of all 5 atoms:
Ti 0.000 0.000 0.000
Re 0.500 0.500 0.500
P 0.000 0.000 0.500
S 0.000 0.500 0.000
S 0.500 0.000 0.000

Output
- Distance to the lowest polymorph of the same formula: 293.6 meV/atom
- E_form (uncorrected): 0.78 eV per atom
- Total moment: 0.810 μB/atom
- Symmetry: P4/mmm, No. 123



8.
Here is an optimized crystal structure of CsCeScBr6 from Alexandria. Energies are from PBE.

a = 10.406 Å, b = 10.406 Å, c = 10.406 Å
α = 120.61°, β = 118.69°, γ = 90.62°
Fractional coordinates of all 18 atoms:
Cs 0.279 0.029 0.250
Cs 0.721 0.971 0.750
Ce 0.000 0.500 0.500
Ce 0.500 0.500 0.000
Sc 0.000 0.000 0.500
Sc 0.000 0.500 0.000
Br 0.030 0.780 0.250
Br 0.052 0.389 0.204
Br 0.052 0.847 0.663
Br 0.316 0.153 0.704
Br 0.316 0.611 0.163
Br 0.342 0.592 0.750
Br 0.658 0.408 0.250
Br 0.684 0.389 0.837
Br 0.684 0.847 0.296
Br 0.948 0.153 0.337
Br 0.948 0.611 0.796
Br 0.970 0.220 0.750

Output
- E_form (uncorrected): -1.67 eV per atom
- Total moment: 0.223 μB/atom
- Symmetry: Imma, No. 74



9.
Here is an optimized crystal structure of LiNp2UP4 from Alexandria. Energies are from PBE.

a = 6.731 Å, b = 3.927 Å, c = 6.804 Å
α = 90.00°, β = 109.13°, γ = 90.00°
Fractional coordinates of all 8 atoms:
Li 0.000 0.000 0.000
Np 0.500 0.000 0.500
Np 0.500 0.500 0.000
U 0.000 0.500 0.500
P 0.247 0.000 0.749
P 0.253 0.500 0.257
P 0.747 0.500 0.743
P 0.753 0.000 0.251

Output
- Formation energy from the elements: -695 meV/atom
- Total moment: 0.168 μB/atom
- Symmetry: P2/m, No. 10



10.
Here is an optimized crystal structure of MgTl2Ge2 from Alexandria. Energies are from PBE.

a = 7.614 Å, b = 7.614 Å, c = 7.614 Å
α = 146.40°, β = 146.40°, γ = 48.25°
Fractional coordinates of all 5 atoms:
Mg 0.000 0.000 0.000
Tl 0.250 0.750 0.500
Tl 0.750 0.250 0.500
Ge 0.412 0.412 0.000
Ge 0.588 0.588 0.000

Output
- Formation energy from the elements: 271 meV/atom
- Distance to the lowest polymorph of the same formula: 168.0 meV/atom
- Total moment: 0.000 μB/atom
- Symmetry: I4/mmm, No. 139



11.
Here is an optimized crystal structure of Ge2BiCl6 from Alexandria. Energies are from PBE.

a = 7.989 Å, b = 7.989 Å, c = 11.006 Å
α = 105.98°, β = 105.98°, γ = 85.69°
Fractional coordinates of all 18 atoms:
Ge 0.126 0.209 0.217
Ge 0.209 0.126 0.717
Ge 0.791 0.874 0.283
Ge 0.874 0.791 0.783
Bi 0.368 0.632 0.750
Bi 0.632 0.368 0.250
Cl 0.037 0.229 0.405
Cl 0.090 0.594 0.860
Cl 0.229 0.037 0.905
Cl 0.335 0.455 0.328
Cl 0.406 0.910 0.640
Cl 0.455 0.335 0.828
Cl 0.545 0.665 0.172
Cl 0.594 0.090 0.360
Cl 0.665 0.545 0.672
Cl 0.771 0.963 0.095
Cl 0.910 0.406 0.140
Cl 0.963 0.771 0.595

Output
- Distance to the lowest polymorph of the same formula: 0.0 meV/atom
- E_form (uncorrected): -0.73 eV per atom
- Total moment: 0.111 μB/atom
- Symmetry: C2/c, No. 15



12.
Here is an optimized crystal structure of Pm2DyY2Mg5 from Alexandria. Energies are from PBE.

a = 10.648 Å, b = 10.648 Å, c = 5.081 Å
α = 90.00°, β = 90.00°, γ = 90.00°
Fractional coordinates of all 20 atoms:
Pm 0.176 0.324 0.000
Pm 0.324 0.824 0.000
Pm 0.676 0.176 0.000
Pm 0.824 0.676 0.000
Dy 0.000 0.000 0.000
Dy 0.500 0.500 0.000
Y 0.121 0.621 0.000
Y 0.379 0.121 0.000
Y 0.621 0.879 0.000
Y 0.879 0.379 0.000
Mg 0.000 0.500 0.500
Mg 0.073 0.805 0.500
Mg 0.195 0.073 0.500
Mg 0.305 0.573 0.500
Mg 0.427 0.305 0.500
Mg 0.500 0.000 0.500
Mg 0.573 0.695 0.500
Mg 0.695 0.427 0.500
Mg 0.805 0.927 0.500
Mg 0.927 0.195 0.500

Output
- Formation energy from the elements: 41 meV/atom
- Total moment: 0.000 μB/atom
- Symmetry: P4/mbm, No. 127



13.
Here is an optimized crystal structure of La2PbBr2 from Alexandria. Energies are from PBE.

a = 11.370 Å, b = 8.830 Å, c = 7.877 Å
α = 90.00°, β = 109.92°, γ = 90.00°
Fractional coordinates of all 20 atoms:
La 0.005 0.131 0.265
La 0.005 0.369 0.765
La 0.351 0.113 0.101
La 0.351 0.387 0.601
La 0.649 0.613 0.399
La 0.649 0.887 0.899
La 0.995 0.631 0.235
La 0.995 0.869 0.735
Pb 0.185 0.120 0.679
Pb 0.185 0.380 0.179
Pb 0.815 0.620 0.821
Pb 0.815 0.880 0.321
Br 0.158 0.617 0.653
Br 0.158 0.883 0.153
Br 0.455 0.723 0.560
Br 0.455 0.777 0.060
Br 0.545 0.223 0.940
Br 0.545 0.277 0.440
Br 0.842 0.117 0.847
Br 0.842 0.383 0.347

Output
- E_form (uncorrected): -1.24 eV per atom
- Total moment: 0.000 μB/atom
- Symmetry: P2_1/c, No. 14



14.
Here is an optimized crystal structure of Mn5V6Ga from Alexandria. Energies are from PBE.

a = 7.092 Å, b = 7.092 Å, c = 7.092 Å
α = 146.52°, β = 131.36°, γ = 60.34°
Fractional coordinates of all 12 atoms:
Mn 0.000 0.000 0.000
Mn 0.168 0.668 0.500
Mn 0.336 0.336 0.000
Mn 0.664 0.664 0.000
Mn 0.832 0.332 0.500
V 0.074 0.829 0.245
V 0.236 0.500 0.736
V 0.415 0.171 0.245
V 0.585 0.829 0.755
V 0.764 0.500 0.264
V 0.926 0.171 0.755
Ga 0.500 0.000 0.500

Output
- Formation energy from the elements: -215 meV/atom
- Total moment: 0.000 μB/atom
- Symmetry: Immm, No. 71



15.
Here is an optimized crystal structure of Na2LiHg from Alexandria. Energies are from PBE.

a = 4.914 Å, b = 4.914 Å, c = 8.867 Å
α = 105.92°, β = 105.92°, γ = 89.93°
Fractional coordinates of all 8 atoms:
Na 0.000 0.500 0.000
Na 0.141 0.141 0.282
Na 0.500 0.000 0.000
Na 0.859 0.859 0.718
Li 0.251 0.749 0.500
Li 0.749 0.251 0.500
Hg 0.347 0.347 0.696
Hg 0.653 0.653 0.304

Output
- Formation energy from the elements: -165 meV/atom
- Total moment: 0.000 μB/atom
- Symmetry: C2/m, No. 12



16.
Here is an optimized crystal structure of RbZrSc from Alexandria. Energies are from PBE.

a = 4.314 Å, b = 4.416 Å, c = 13.280 Å
α = 89.43°, β = 89.37°, γ = 89.99°
Fractional coordinates of all 6 atoms:
Rb 0.000 0.000 0.000
Rb 0.483 0.489 0.307
Zr 0.500 0.008 0.731
Zr 0.505 0.513 0.583
Sc 0.005 0.013 0.564
Sc 0.999 0.508 0.743

Output
- Formation energy from the elements: 322 meV/atom
- Distance to the lowest polymorph of the same formula: 47.0 meV/atom
- Total moment: 0.000 μB/atom
- Symmetry: P1, No. 1



17.
Here is an optimized crystal structure of PuCrP2 from Alexandria. Energies are from PBE.

a = 6.576 Å, b = 6.576 Å, c = 6.576 Å
α = 31.39°, β = 31.39°, γ = 31.39°
Fractional coordinates of all 4 atoms:
Pu 0.000 0.000 0.000
Cr 0.825 0.825 0.825
P 0.430 0.430 0.430
P 0.560 0.560 0.560

Output
- Formation energy from the elements: -624 meV/atom
- Distance to the lowest polymorph of the same formula: 108.8 meV/atom
- Total moment: 1.504 μB/atom
- Symmetry: R3m, No. 160



18.
Here is an optimized crystal structure of YPuGePd from Alexandria. Energies are from PBE.

a = 5.037 Å, b = 5.037 Å, c = 5.037 Å
α = 60.00°, β = 60.00°, γ = 60.00°
Fractional coordinates of all 4 atoms:
Y 0.000 0.000 0.000
Pu 0.500 0.500 0.500
Ge 0.250 0.250 0.250
Pd 0.750 0.750 0.750

Output
- Formation energy from the elements: -567 meV/atom
- Total moment: 1.337 μB/atom
- Symmetry: F-43m, No. 216



19.
Here is an optimized crystal structure of TiGa2ReAu from Alexandria. Energies are from PBE.

a = 4.665 Å, b = 4.665 Å, c = 5.079 Å
α = 90.00°, β = 90.00°, γ = 90.00°
Fractional coordinates of all 5 atoms:
Ti 0.000 0.000 0.000
Ga 0.000 0.500 0.500
Ga 0.500 0.000 0.500
Re 0.500 0.500 0.000
Au 0.000 0.000 0.500

Output
- Formation energy from the elements: 1207 meV/atom
- Total moment: 0.323 μB/atom
- Symmetry: P4/mmm, No. 123



20.
Here is an optimized crystal structure of NbZn5Ni4 from Alexandria. Energies are from PBE.

a = 2.904 Å, b = 2.904 Å, c = 15.320 Å
α = 90.00°, β = 90.00°, γ = 90.00°
Fractional coordinates of all 10 atoms:
Nb 0.000 0.000 0.000
Zn 0.500 0.500 0.126
Zn 0.500 0.500 0.313
Zn 0.500 0.500 0.500
Zn 0.500 0.500 0.687
Zn 0.500 0.500 0.874
Ni 0.000 0.000 0.220
Ni 0.000 0.000 0.406
Ni 0.000 0.000 0.594
Ni 0.000 0.000 0.780

Output
- Formation energy from the elements: -196 meV/atom
- Total moment: 0.000 μB/atom
- Symmetry: P4/mmm, No. 123



21.
Here is an optimized crystal structure of Pm4InAg2Pt from Alexandria. Energies are from PBE.

a = 9.098 Å, b = 9.098 Å, c = 9.098 Å
α = 33.60°, β = 33.60°, γ = 33.60°
Fractional coordinates of all 8 atoms:
Pm 0.116 0.116 0.116
Pm 0.369 0.369 0.369
Pm 0.631 0.631 0.631
Pm 0.884 0.884 0.884
In 0.500 0.500 0.500
Ag 0.239 0.239 0.239
Ag 0.761 0.761 0.761
Pt 0.000 0.000 0.000

Output
- Formation energy from the elements: -556 meV/atom
- Total moment: 0.000 μB/atom
- Symmetry: R-3m, No. 166



22.
Here is an optimized crystal structure of YAl2Ir from Alexandria. Energies are from PBE.

a = 9.123 Å, b = 9.123 Å, c = 9.123 Å
α = 19.95°, β = 19.95°, γ = 19.95°
Fractional coordinates of all 4 atoms:
Y 0.000 0.000 0.000
Al 0.235 0.235 0.235
Al 0.765 0.765 0.765
Ir 0.500 0.500 0.500

Output
- Formation energy from the elements: -209 meV/atom
- Total moment: 0.000 μB/atom
- Symmetry: R-3m, No. 166



23.
Here is an optimized crystal structure of Nb2AlMoH from Alexandria. Energies are from PBE.

a = 4.200 Å, b = 4.200 Å, c = 3.970 Å
α = 90.00°, β = 90.00°, γ = 90.00°
Fractional coordinates of all 5 atoms:
Nb 0.000 0.500 0.000
Nb 0.500 0.000 0.000
Al 0.000 0.000 0.500
Mo 0.500 0.500 0.500
H 0.500 0.500 0.000

Output
- Total moment: 0.000 μB/atom
- Symmetry: P4/mmm, No. 123
- DFT total energy: -7.771 eV/atom